1.
The following is a PBE calculation of a geometry-optimized SrLiFeRe structure, from OQMD via LeMat-Bulk.

Lattice parameters (Å, degrees): 4.8059 4.8059 4.8059 60.00 60.00 60.00
Last column: nearest neighbours and their distance in Å.
Atoms (fractional coordinates):
Sr: 0.0000 0.0000 0.0000  4 Fe 2.94, 4 Re 2.94
Li: 0.5000 0.5000 0.5000  4 Re 2.94, 4 Fe 2.94
Fe: 0.2500 0.2500 0.2500  4 Li 2.94, 4 Sr 2.94
Re: 0.7500 0.7500 0.7500  4 Li 2.94, 4 Sr 2.94

Values from the calculation:
The total magnetic moment comes out at 4.99 μB/f.u. The total DFT energy (no corrections) comes out at -18.8 eV per cell. The calculated density is 7121 kg/m³. Its space-group type is F-43m (216).



2.
The following is a PBE calculation of a geometry-optimized BaCuAsPd structure, from OQMD via LeMat-Bulk.

Lattice parameters (Å, degrees): 4.9736 4.9736 4.9736 60.00 60.00 60.00
Last column: nearest neighbours and their distance in Å.
Atoms (fractional coordinates):
Ba: 0.0000 0.0000 0.0000  4 Pd 3.05, 4 Cu 3.05
Cu: 0.2500 0.2500 0.2500  4 Ba 3.05, 4 As 3.05
As: 0.5000 0.5000 0.5000  4 Pd 3.05, 4 Cu 3.05
Pd: 0.7500 0.7500 0.7500  4 Ba 3.05, 4 As 3.05

Values from the calculation:
The total DFT energy (no corrections) comes out at -15.9 eV per cell. The calculated density is 7296 kg/m³. Its space-group type is F-43m (216).



3.
The following is a PBE calculation of a geometry-optimized GdHoCS structure, from OQMD via LeMat-Bulk.

Lattice parameters (Å, degrees): 3.7174 3.7174 12.9599 90.00 90.00 120.00
Last column: nearest neighbours and their distance in Å.
Atoms (fractional coordinates):
Gd: 0.3333 0.6667 0.3936  3 C 2.55
Gd: 0.6667 0.3333 0.6064  3 C 2.55
Ho: 0.3333 0.6667 0.1025  3 C 2.52
Ho: 0.6667 0.3333 0.8975  3 C 2.52
C: 0.0000 0.0000 0.0000  6 Ho 2.52
C: 0.0000 0.0000 0.5000  6 Gd 2.55
S: 0.3333 0.6667 0.7541  3 Ho 2.84, 3 Gd 2.88
S: 0.6667 0.3333 0.2459  3 Ho 2.84, 3 Gd 2.88

Values from the calculation:
The total magnetic moment comes out at 0.00 μB/f.u. The total DFT energy (no corrections) comes out at -55.1 eV per cell. The calculated density is 7843 kg/m³. Its space-group type is P-3m1 (164).